[1]
Density functional theory data (PBE) for an optimized crystal structure of TlFe2Tc.

Geometry as CIF:
```
data_TlFe2Tc
_space_group_name_H-M_alt 'I -4 m 2'
_space_group_IT_number 119
_space_group_name_Hall 'I -4 -2'
_cell_length_a 3.9184
_cell_length_b 3.9184
_cell_length_c 7.8571
_cell_angle_alpha 90.00
_cell_angle_beta 90.00
_cell_angle_gamma 90.00
loop_
_atom_site_label
_atom_site_fract_x
_atom_site_fract_y
_atom_site_fract_z
Tl1 0.0000 0.0000 0.0000
Fe1 0.0000 0.0000 0.5000
Fe2 0.0000 0.5000 0.7500
Tc1 0.0000 0.5000 0.2500
```

**Energy relative to the lowest polymorph listed for this composition**: 158.1 meV per atom
**Uncorrected energy**: -54.721 eV/cell
**Crystal system**: tetragonal
**ΔE_f**: 0.574 eV/atom
**Fermi-level density of states**: 1.289 states/eV/atom

---

[2]
Density functional theory data (PBE) for an optimized crystal structure of SiMo3Os.

Geometry as CIF:
```
data_SiMo3Os
_space_group_name_H-M_alt 'P m -3 m'
_space_group_IT_number 221
_space_group_name_Hall '-P 4 2 3'
_cell_length_a 4.4039
_cell_length_b 4.4039
_cell_length_c 4.4039
_cell_angle_alpha 90.00
_cell_angle_beta 90.00
_cell_angle_gamma 90.00
loop_
_atom_site_label
_atom_site_fract_x
_atom_site_fract_y
_atom_site_fract_z
Si1 0.0000 0.0000 0.0000
Mo1 0.0000 0.0000 0.5000
Os1 0.5000 0.5000 0.5000
```

**Energy relative to the lowest polymorph listed for this composition**: 0.0 meV per atom
**Uncorrected energy**: -43.216 eV/cell
**Crystal system**: cubic
**Fermi-level density of states**: 1.218 states/eV/atom
**Energy relative to the elements, uncorrected**: 572 kJ/mol of formula units

---

[3]
Density functional theory data (PBE) for an optimized crystal structure of La2PbCl.

Geometry as CIF:
```
data_La2PbCl
_space_group_name_H-M_alt 'A m m 2'
_space_group_IT_number 38
_space_group_name_Hall 'A 2 -2'
_cell_length_a 5.1380
_cell_length_b 3.8928
_cell_length_c 12.6399
_cell_angle_alpha 90.00
_cell_angle_beta 90.00
_cell_angle_gamma 90.00
loop_
_atom_site_label
_atom_site_fract_x
_atom_site_fract_y
_atom_site_fract_z
La1 0.0000 0.0000 0.0000
La2 0.5000 0.0000 0.2726
Pb1 0.0000 0.0000 0.7281
Cl1 0.5000 0.0000 0.4959
```

**Energy relative to the lowest polymorph listed for this composition**: 121.9 meV per atom
**Uncorrected energy**: -38.697 eV/cell
**Crystal system**: orthorhombic
**Fermi-level density of states**: 1.030 states/eV/atom
**Energy relative to the elements, uncorrected**: -380 kJ/mol of formula units

---

[4]
Density functional theory data (PBE) for an optimized crystal structure of NaLiIr2Rh.

Geometry as CIF:
```
data_NaLiIr2Rh
_space_group_name_H-M_alt 'P 4/m m m'
_space_group_IT_number 123
_space_group_name_Hall '-P 4 2'
_cell_length_a 4.7270
_cell_length_b 4.7270
_cell_length_c 5.1252
_cell_angle_alpha 90.00
_cell_angle_beta 90.00
_cell_angle_gamma 90.00
loop_
_atom_site_label
_atom_site_fract_x
_atom_site_fract_y
_atom_site_fract_z
Na1 0.0000 0.0000 0.0000
Li1 0.5000 0.5000 0.0000
Ir1 0.0000 0.5000 0.5000
Rh1 0.0000 0.0000 0.5000
```

**Uncorrected energy**: -23.127 eV/cell
**Crystal system**: tetragonal
**ΔE_f**: 1.036 eV/atom
**Fermi-level density of states**: 0.707 states/eV/atom

---

[5]
Density functional theory data (PBE) for an optimized crystal structure of Sr3GeF.

Geometry as CIF:
```
data_Sr3GeF
_space_group_name_H-M_alt 'P m -3 m'
_space_group_IT_number 221
_space_group_name_Hall '-P 4 2 3'
_cell_length_a 5.1941
_cell_length_b 5.1941
_cell_length_c 5.1941
_cell_angle_alpha 90.00
_cell_angle_beta 90.00
_cell_angle_gamma 90.00
loop_
_atom_site_label
_atom_site_fract_x
_atom_site_fract_y
_atom_site_fract_z
Sr1 0.0000 0.0000 0.5000
Ge1 0.5000 0.5000 0.5000
F1 0.0000 0.0000 0.0000
```

**Energy relative to the lowest polymorph listed for this composition**: 213.2 meV per atom
**Uncorrected energy**: -17.424 eV/cell
**Crystal system**: cubic
**Fermi-level density of states**: 0.892 states/eV/atom
**Energy relative to the elements, uncorrected**: -568 kJ/mol of formula units

---

[6]
Density functional theory data (PBE) for an optimized crystal structure of Mn2AlCo.

Geometry as CIF:
```
data_Mn2AlCo
_space_group_name_H-M_alt 'R 3 m'
_space_group_IT_number 160
_space_group_name_Hall 'R 3 -2"'
_cell_length_a 2.5875
_cell_length_b 2.5875
_cell_length_c 24.2149
_cell_angle_alpha 90.00
_cell_angle_beta 90.00
_cell_angle_gamma 120.00
loop_
_atom_site_label
_atom_site_fract_x
_atom_site_fract_y
_atom_site_fract_z
Mn1 0.0000 0.0000 0.0000
Mn2 0.0000 0.0000 0.2538
Al1 0.0000 0.0000 0.4996
Co1 0.0000 0.0000 0.7490
```

**Energy relative to the lowest polymorph listed for this composition**: 247.1 meV per atom
**Uncorrected energy**: -87.787 eV/cell
**Crystal system**: trigonal
**ΔE_f**: -0.019 eV/atom
**Fermi-level density of states**: 0.642 states/eV/atom

---

Repeat the second record exactly.
Density functional theory data (PBE) for an optimized crystal structure of SiMo3Os.

Geometry as CIF:
```
data_SiMo3Os
_space_group_name_H-M_alt 'P m -3 m'
_space_group_IT_number 221
_space_group_name_Hall '-P 4 2 3'
_cell_length_a 4.4039
_cell_length_b 4.4039
_cell_length_c 4.4039
_cell_angle_alpha 90.00
_cell_angle_beta 90.00
_cell_angle_gamma 90.00
loop_
_atom_site_label
_atom_site_fract_x
_atom_site_fract_y
_atom_site_fract_z
Si1 0.0000 0.0000 0.0000
Mo1 0.0000 0.0000 0.5000
Os1 0.5000 0.5000 0.5000
```

**Energy relative to the lowest polymorph listed for this composition**: 0.0 meV per atom
**Uncorrected energy**: -43.216 eV/cell
**Crystal system**: cubic
**Fermi-level density of states**: 1.218 states/eV/atom
**Energy relative to the elements, uncorrected**: 572 kJ/mol of formula units